Record 1
Crystalline Nd3Tm13 at its relaxed geometry. Source: Alexandria via LeMat-Bulk, functional GGA-PBE.

Values from the calculation:
magnetic moment	0.000	μB per formula unit
ΔE to the lowest computed polymorph	0.016	eV per atom
E_tot	-72.05	eV per cell

Lattice parameters (Å, degrees): 7.0490 7.0490 9.9351 90.00 90.00 90.22
Sites, in units of the cell vectors:
Tm 0.4992 0.9993 0.2515
Tm 0.4987 0.5013 0.2523
Tm 0.7476 0.7480 0.0000
Tm 0.2524 0.7476 0.5000
Tm 0.7487 0.7481 0.5000
Tm 0.7482 0.2518 0.5000
Tm 0.2522 0.7478 0.0000
Tm 0.2520 0.2524 0.0000
Tm 0.2519 0.2513 0.5000
Tm 0.0007 0.5008 0.2515
Tm 0.4992 0.9993 0.7485
Tm 0.4987 0.5013 0.7477
Tm 0.0007 0.5008 0.7485
Nd 0.7477 0.2523 0.0000
Nd 0.0011 0.9989 0.2505
Nd 0.0011 0.9989 0.7495

---

Record 2
Crystalline Nd3Tm at its relaxed geometry. Source: Alexandria via LeMat-Bulk, functional GGA-PBE.

Values from the calculation:
magnetic moment	0.000	μB per formula unit
ΔE to the lowest computed polymorph	0.020	eV per atom
E_tot	-18.64	eV per cell

Lattice parameters (Å, degrees): 3.6773 5.8686 6.3409 90.00 90.00 90.00
Sites, in units of the cell vectors:
Nd 0.5000 0.5000 0.8334
Nd 0.0000 0.5000 0.3334
Nd 0.5000 0.0000 0.4990
Tm 0.0000 0.0000 0.0007